P | ## OsRh2W2 (PBE)

Data for OsRh2W2 after structural relaxation.

The structure in POSCAR format:
```
OsRh2W2
1.0
3.627 0.000 0.000
0.000 3.627 0.000
0.000 0.000 12.508
Os Rh W
2 4 4
Cartesian
0.000 0.000 0.000 Os
1.813 1.813 6.254 Os
0.000 1.813 3.127 Rh
0.000 1.813 9.381 Rh
1.813 0.000 3.127 Rh
1.813 0.000 9.381 Rh
0.000 0.000 5.023 W
0.000 0.000 7.485 W
1.813 1.813 1.231 W
1.813 1.813 11.277 W
```

- SG: I4/mmm (139)

---

Q | ## OsRh2W2 (PBE)

Data for OsRh2W2 after structural relaxation.

The structure in POSCAR format:
```
OsRh2W2
1.0
7.431 0.000 0.000
0.000 7.431 0.000
0.000 0.000 2.793
Os Rh W
2 4 4
Cartesian
0.000 0.000 0.000 Os
3.715 3.715 0.000 Os
0.930 2.786 0.000 Rh
2.786 6.501 0.000 Rh
4.645 0.930 0.000 Rh
6.501 4.645 0.000 Rh
1.290 5.005 1.397 W
2.426 1.290 1.397 W
5.005 6.141 1.397 W
6.141 2.426 1.397 W
```

- SG: P4/mbm (127)

---

The least stable of them is P.

---

P | ## YOs2Rh (PBE)

Data for YOs2Rh after structural relaxation.

The structure in POSCAR format:
```
YOs2Rh
1.0
3.243 0.000 0.000
0.000 3.243 0.000
0.000 0.000 6.650
Y Os Rh
1 2 1
Cartesian
0.000 0.000 0.000 Y
1.621 1.621 1.978 Os
1.621 1.621 4.672 Os
0.000 0.000 3.325 Rh
```

- SG: P4/mmm (123)

---

Q | ## YOs2Rh (PBE)

Data for YOs2Rh after structural relaxation.

The structure in POSCAR format:
```
YOs2Rh
1.0
9.290 0.000 0.000
0.000 2.953 0.000
-1.065 0.000 5.037
Y Os Rh
2 4 2
Cartesian
0.000 0.000 0.000 Y
4.645 1.477 0.000 Y
-0.514 1.477 2.617 Os
1.521 0.000 3.290 Os
4.131 0.000 2.617 Os
6.166 1.477 3.290 Os
2.166 1.477 1.233 Rh
6.811 0.000 1.233 Rh
```

- SG: Cm (8)

---

R | ## YOs2Rh (PBE)

Data for YOs2Rh after structural relaxation.

The structure in POSCAR format:
```
YOs2Rh
1.0
5.606 0.000 0.000
0.000 8.280 0.000
0.000 0.000 2.860
Y Os Rh
2 4 2
Cartesian
0.000 0.000 0.000 Y
2.803 4.140 0.000 Y
1.402 2.070 1.430 Os
1.402 6.210 1.430 Os
4.205 2.070 1.430 Os
4.205 6.210 1.430 Os
0.000 4.140 0.000 Rh
2.803 0.000 0.000 Rh
```

- SG: Cmmm (65)

---

S | ## YOs2Rh (PBE)

Data for YOs2Rh after structural relaxation.

The structure in POSCAR format:
```
YOs2Rh
1.0
2.889 0.000 0.000
0.000 2.889 0.000
0.000 0.000 8.075
Y Os Rh
1 2 1
Cartesian
0.000 0.000 0.000 Y
1.444 1.444 2.291 Os
1.444 1.444 5.784 Os
0.000 0.000 4.037 Rh
```

- SG: P4/mmm (123)

---

The least stable of them is P.

---

P | ## YOs2Rh (PBE)

Data for YOs2Rh after structural relaxation.

The structure in POSCAR format:
```
YOs2Rh
1.0
3.934 0.000 0.000
0.000 4.352 0.000
0.000 0.000 7.922
Y Os Rh
2 4 2
Cartesian
0.000 0.000 0.000 Y
1.967 2.176 3.961 Y
0.000 0.000 3.806 Os
0.000 2.176 6.034 Os
1.967 0.000 2.073 Os
1.967 2.176 7.767 Os
0.000 2.176 1.869 Rh
1.967 0.000 5.830 Rh
```

- SG: Imm2 (44)

---

Q | ## YOs2Rh (PBE)

Data for YOs2Rh after structural relaxation.

The structure in POSCAR format:
```
YOs2Rh
1.0
3.982 0.000 0.000
0.000 3.982 0.000
0.000 0.000 19.824
Y Os Rh
4 8 4
Cartesian
0.000 0.000 0.000 Y
0.000 1.991 4.956 Y
1.991 0.000 14.868 Y
1.991 1.991 9.912 Y
0.635 0.995 12.390 Os
0.995 2.626 17.346 Os
0.995 3.347 7.434 Os
1.356 0.995 2.478 Os
2.626 2.986 2.478 Os
2.986 0.635 7.434 Os
2.986 1.356 17.346 Os
3.347 2.986 12.390 Os
0.000 0.000 9.912 Rh
0.000 1.991 14.868 Rh
1.991 0.000 4.956 Rh
1.991 1.991 0.000 Rh
```

- SG: I-42d (122)

---

The least stable of them is Q.